# 1
DFT (GGA-PBE) results for ZnCdCuF6 after structural relaxation.

Structure (POSCAR):
```
ZnCdCuF6
1.0
5.340 0.000 0.000
-2.670 4.625 0.000
0.000 0.000 9.652
Zn Cd Cu F
2 2 2 12
Direct
0.333 0.667 0.250
0.667 0.333 0.750
0.000 0.000 0.000
0.000 0.000 0.500
0.333 0.667 0.750
0.667 0.333 0.250
0.002 0.352 0.636
0.002 0.650 0.864
0.350 0.352 0.864
0.350 0.998 0.636
0.352 0.002 0.136
0.352 0.350 0.364
0.648 0.650 0.636
0.648 0.998 0.864
0.650 0.002 0.364
0.650 0.648 0.136
0.998 0.350 0.136
0.998 0.648 0.364
```

Properties
The value obtained for the density is 5.0 Mg/m³. Its space group is P-31c. Its density of states at the Fermi level is 12.8 states/eV/cell. The calculation puts the total energy at -70.7 eV per cell.

# 2
DFT (GGA-PBE) results for ZnTe2Rh after structural relaxation.

Structure (POSCAR):
```
ZnTe2Rh
1.0
4.370 -1.875 0.000
4.370 1.875 0.000
-2.037 0.000 6.028
Zn Te Rh
1 2 1
Direct
0.000 0.000 0.000
0.582 0.582 0.706
0.824 0.824 0.272
0.275 0.275 0.959
```

Properties
The value obtained for the density is 7.1 Mg/m³. Its space group is Cm. Its density of states at the Fermi level is 2.1 states/eV/cell. The calculation puts the total energy at -15.7 eV per cell.

# 3
DFT (GGA-PBE) results for LiSb2Br after structural relaxation.

Structure (POSCAR):
```
LiSb2Br
1.0
-1.688 2.107 8.555
1.688 -2.107 8.555
1.688 2.107 -8.555
Li Sb Br
1 2 1
Direct
0.000 0.000 0.000
0.239 0.239 0.000
0.854 0.354 0.500
0.566 0.066 0.500
```

Properties
The value obtained for the density is 4.5 Mg/m³. Its space group is Imm2. Its density of states at the Fermi level is 1.5 states/eV/cell. The energy above the lowest structure with this stoichiometry is 195 meV/atom. The calculation puts the total energy at -13.8 eV per cell.